VASP calculation (PBE) on a relaxed HoHO crystal.

## Properties
**Energy above the most stable polymorph in this dataset**: 311.6 meV/atom
**D(E_F)**: 0.0 states/eV/f.u.
**M_tot**: 0.00 μB per formula unit
**Space-group type**: P3m1 (156)
**Energy**: -6.2973 eV per atom

Structure (POSCAR):
```
HoHO
1.0
3.5475 0.0000 0.0000
-1.7737 3.0722 0.0000
0.0000 0.0000 5.0561
Ho H O
1 1 1
direct
0.0000 0.0000 0.0000
0.6667 0.3333 0.2316
0.3333 0.6667 0.8630
```

---

VASP calculation (PBE) on a relaxed HoPuH2O6 crystal.

## Properties
**M_tot**: 1.00 μB per formula unit
**Space-group type**: P-1 (2)
**Energy**: -7.7564 eV per atom

Structure (POSCAR):
```
HoPuH2O6
1.0
5.2307 0.0000 0.0000
2.4163 4.8753 0.0000
0.0565 3.0024 5.0690
Ho Pu H O
1 1 2 6
direct
0.0000 0.0000 0.0000
0.5000 0.0000 0.5000
0.0841 0.5299 0.7310
0.9159 0.4701 0.2690
0.0899 0.4962 0.2530
0.2740 0.8602 0.7319
0.3914 0.8755 0.2779
0.6086 0.1245 0.7221
0.7260 0.1398 0.2681
0.9101 0.5038 0.7470
```

---

VASP calculation (PBE) on a relaxed HoHSO5 crystal.

## Properties
**D(E_F)**: 0.0 states/eV/f.u.
**M_tot**: 0.00 μB per formula unit
**Space-group type**: P2_1/c (14)
**Energy**: -6.7200 eV per atom

Structure (POSCAR):
```
HoHSO5
1.0
7.9645 0.0000 0.0000
0.0000 11.1325 0.0000
-7.3960 0.0000 8.1914
Ho H S O
8 8 8 40
direct
0.2106 0.0656 0.3711
0.2106 0.4344 0.8711
0.2828 0.5737 0.5950
0.2828 0.9263 0.0950
0.7172 0.0737 0.9050
0.7172 0.4263 0.4050
0.7894 0.5656 0.1289
0.7894 0.9344 0.6289
0.0453 0.1115 0.8769
0.0453 0.3885 0.3769
0.4440 0.5844 0.1378
0.4440 0.9156 0.6378
0.5560 0.0844 0.3622
0.5560 0.4156 0.8622
0.9547 0.6115 0.6231
0.9547 0.8885 0.1231
0.1310 0.1673 0.6356
0.1310 0.3327 0.1356
0.4157 0.6927 0.3696
0.4157 0.8073 0.8696
0.5843 0.1927 0.1304
0.5843 0.3073 0.6304
0.8690 0.6673 0.8644
0.8690 0.8327 0.3644
0.0288 0.5388 0.6294
0.0288 0.9612 0.1294
0.0513 0.5948 0.8962
0.0513 0.9052 0.3962
0.0984 0.2040 0.1580
0.0984 0.2960 0.6580
0.1153 0.1641 0.4944
0.1153 0.3359 0.9944
0.2387 0.6303 0.3579
0.2387 0.8697 0.8579
0.3188 0.7441 0.2097
0.3188 0.7559 0.7097
0.3527 0.1214 0.7820
0.3527 0.3786 0.2820
0.4062 0.1053 0.0783
0.4062 0.3947 0.5783
0.4866 0.0109 0.3605
0.4866 0.4891 0.8605
0.4889 0.2092 0.5101
0.4889 0.2908 0.0101
0.5111 0.7092 0.9899
0.5111 0.7908 0.4899
0.5134 0.5109 0.1395
0.5134 0.9891 0.6395
0.5938 0.6053 0.4217
0.5938 0.8947 0.9217
0.6473 0.6214 0.7180
0.6473 0.8786 0.2180
0.6812 0.2441 0.2903
0.6812 0.2559 0.7903
0.7613 0.1303 0.1421
0.7613 0.3697 0.6421
0.8847 0.6641 0.0056
0.8847 0.8359 0.5056
0.9016 0.7040 0.3420
0.9016 0.7960 0.8420
0.9487 0.0948 0.6038
0.9487 0.4052 0.1038
0.9712 0.0388 0.8706
0.9712 0.4612 0.3706
```

---

VASP calculation (PBE) on a relaxed HoH6Os crystal.

## Properties
**D(E_F)**: 1.6 states/eV/f.u.
**M_tot**: 0.89 μB per formula unit
**Space-group type**: R-3m (166)
**Energy**: -4.6535 eV per atom

Structure (POSCAR):
```
HoH6Os
1.0
2.2285 1.2866 3.7892
-2.2285 1.2866 3.7892
0.0000 -2.5733 3.7892
Ho H Os
1 6 1
direct
0.0000 0.0000 0.0000
0.0493 0.6038 0.6038
0.3962 0.3962 0.9507
0.3962 0.9507 0.3962
0.6038 0.0493 0.6038
0.6038 0.6038 0.0493
0.9507 0.3962 0.3962
0.5000 0.5000 0.5000
```

---

VASP calculation (PBE) on a relaxed HoH3Os crystal.

## Properties
**D(E_F)**: 3.3 states/eV/f.u.
**M_tot**: 0.46 μB per formula unit
**Space-group type**: Pm-3m (221)
**Energy**: -5.4384 eV per atom

Structure (POSCAR):
```
HoH3Os
1.0
3.6570 0.0000 0.0000
0.0000 3.6570 0.0000
0.0000 0.0000 3.6570
Ho H Os
1 3 1
direct
0.0000 0.0000 0.0000
0.0000 0.5000 0.5000
0.5000 0.0000 0.5000
0.5000 0.5000 0.0000
0.5000 0.5000 0.5000
```

---

VASP calculation (PBE) on a relaxed Ho12H5Os3 crystal.

## Properties
**D(E_F)**: 11.3 states/eV/f.u.
**M_tot**: 0.00 μB per formula unit
**Space-group type**: Ia-3d (230)
**Energy**: -5.5729 eV per atom

Structure (POSCAR):
```
Ho12H5Os3
1.0
-7.5019 7.5019 7.5019
7.5019 -7.5019 7.5019
7.5019 7.5019 -7.5019
Ho H Os
48 20 12
direct
0.0294 0.2178 0.1241
0.0294 0.3117 0.9054
0.0937 0.7178 0.6883
0.0937 0.8759 0.4054
0.0946 0.6241 0.4063
0.0946 0.9706 0.6883
0.1241 0.0294 0.2178
0.1241 0.5946 0.9063
0.1883 0.2178 0.5937
0.1883 0.4706 0.5946
0.2178 0.1241 0.0294
0.2178 0.5937 0.1883
0.2822 0.3117 0.9063
0.2822 0.4706 0.3759
0.3117 0.9054 0.0294
0.3117 0.9063 0.2822
0.3759 0.2822 0.4706
0.3759 0.5937 0.9054
0.4054 0.0937 0.8759
0.4054 0.8117 0.5294
0.4063 0.0946 0.6241
0.4063 0.8117 0.7822
0.4706 0.3759 0.2822
0.4706 0.5946 0.1883
0.5294 0.4054 0.8117
0.5294 0.6241 0.7178
0.5937 0.1883 0.2178
0.5937 0.9054 0.3759
0.5946 0.1883 0.4706
0.5946 0.9063 0.1241
0.6241 0.4063 0.0946
0.6241 0.7178 0.5294
0.6883 0.0937 0.7178
0.6883 0.0946 0.9706
0.7178 0.5294 0.6241
0.7178 0.6883 0.0937
0.7822 0.4063 0.8117
0.7822 0.8759 0.9706
0.8117 0.5294 0.4054
0.8117 0.7822 0.4063
0.8759 0.4054 0.0937
0.8759 0.9706 0.7822
0.9054 0.0294 0.3117
0.9054 0.3759 0.5937
0.9063 0.1241 0.5946
0.9063 0.2822 0.3117
0.9706 0.6883 0.0946
0.9706 0.7822 0.8759
0.0000 0.0000 0.0000
0.0000 0.0000 0.5000
0.0000 0.5000 0.0000
0.0000 0.5000 0.5000
0.1250 0.7500 0.8750
0.1250 0.8750 0.2500
0.2500 0.1250 0.8750
0.2500 0.6250 0.3750
0.3750 0.2500 0.6250
0.3750 0.6250 0.7500
0.5000 0.0000 0.0000
0.5000 0.0000 0.5000
0.5000 0.5000 0.0000
0.5000 0.5000 0.5000
0.6250 0.3750 0.2500
0.6250 0.7500 0.3750
0.7500 0.3750 0.6250
0.7500 0.8750 0.1250
0.8750 0.1250 0.7500
0.8750 0.2500 0.1250
0.1250 0.2500 0.3750
0.1250 0.3750 0.7500
0.2500 0.3750 0.1250
0.2500 0.8750 0.6250
0.3750 0.1250 0.2500
0.3750 0.7500 0.1250
0.6250 0.2500 0.8750
0.6250 0.8750 0.7500
0.7500 0.1250 0.3750
0.7500 0.6250 0.8750
0.8750 0.6250 0.2500
0.8750 0.7500 0.6250
```

---

VASP calculation (PBE) on a relaxed HoH5Os crystal.

## Properties
**D(E_F)**: 1.5 states/eV/f.u.
**M_tot**: 0.32 μB per formula unit
**Space-group type**: Imm2 (44)
**Energy**: -4.8134 eV per atom

Structure (POSCAR):
```
HoH5Os
1.0
-2.5806 3.7727 1.8547
2.5806 -3.7727 1.8547
2.5806 3.7727 -1.8547
Ho H Os
1 5 1
direct
0.0000 0.0000 0.0000
0.2745 0.9974 0.2772
0.4999 0.3221 0.8222
0.4999 0.6777 0.1778
0.7202 0.9974 0.7228
0.9993 0.4993 0.5000
0.4992 0.9992 0.5000
```

---

VASP calculation (PBE) on a relaxed HoSiHOs crystal.

## Properties
**D(E_F)**: 2.1 states/eV/f.u.
**M_tot**: 0.00 μB per formula unit
**Space-group type**: P4/nmm (129)
**Energy**: -6.8023 eV per atom

Structure (POSCAR):
```
HoSiHOs
1.0
4.0716 0.0000 0.0000
0.0000 4.0716 0.0000
0.0000 0.0000 7.0959
Ho Si H Os
2 2 2 2
direct
0.2500 0.2500 0.1571
0.7500 0.7500 0.8429
0.2500 0.2500 0.6796
0.7500 0.7500 0.3204
0.2500 0.7500 0.0000
0.7500 0.2500 0.0000
0.2500 0.7500 0.5000
0.7500 0.2500 0.5000
```